Record 1
Density functional theory data (GGA-PBE) for a relaxed Pm2GaNi crystal.

- ΔH_f (0 K) (eV per atom) = 0.226

a b c (Å): 3.4278 3.4278 29.5515
angles (deg): 90.00 90.00 120.00
Space group R-3m (No. 166, hexagonal axes)
One atom of each set of equivalent atoms:
Pm 0.0000 0.0000 0.0870 [6 per cell]
Ga 0.0000 0.0000 0.5000 [3 per cell]
Ni 0.0000 0.0000 0.0000 [3 per cell]

---

Record 2
Density functional theory data (GGA-PBE) for a relaxed Na4Tl2Cd2Sn crystal.

- ΔH_f (0 K) (eV per atom) = -0.107

a b c (Å): 5.705 5.741 7.790
angles (deg): 74.22 81.59 81.87
Space group P-1 (No. 2)
One atom of each set of equivalent atoms:
Na 0.100 0.068 0.285 [2 per cell]
Na 0.322 0.185 0.822 [2 per cell]
Tl 0.231 0.615 0.054 [2 per cell]
Cd 0.463 0.725 0.596 [2 per cell]
Sn 0.000 0.500 0.500 [1 per cell]

---

Record 3
Density functional theory data (GGA-PBE) for a relaxed La2SiSbPd6 crystal.

- formation energy from raw total energies (eV per atom) = -0.8067

a b c (Å): 5.604 8.879 8.538
angles (deg): 90.00 90.00 90.00
Space group Pmmn (No. 59, origin choice 2)
One atom of each set of equivalent atoms:
La 0.250 0.001 0.238 [4 per cell]
Si 0.250 0.750 0.735 [2 per cell]
Sb 0.250 0.250 0.779 [2 per cell]
Pd 0.002 0.250 0.496 [4 per cell]
Pd 0.006 0.750 0.964 [4 per cell]
Pd 0.250 0.502 0.607 [4 per cell]

---

Record 4
Density functional theory data (GGA-PBE) for a relaxed Sc3GaPb crystal.

- ΔH_f (0 K) (eV per atom) = 0.429
- E above lowest polymorph (meV per atom) = 620

a b c (Å): 5.373 5.373 5.373
angles (deg): 90.00 90.00 90.00
Space group Pm-3m (No. 221)
One atom of each set of equivalent atoms:
Sc 0.000 0.000 0.500 [3 per cell]
Ga 0.500 0.500 0.500 [1 per cell]
Pb 0.000 0.000 0.000 [1 per cell]

---

Record 5
Density functional theory data (GGA-PBE) for a relaxed Cd2PtPb crystal.

- ΔH_f (0 K) (eV per atom) = -0.018

a b c (Å): 3.2324 3.2324 30.1473
angles (deg): 90.00 90.00 120.00
Space group R-3m (No. 166, hexagonal axes)
One atom of each set of equivalent atoms:
Cd 0.0000 0.0000 0.2364 [6 per cell]
Pt 0.0000 0.0000 0.5000 [3 per cell]
Pb 0.0000 0.0000 0.0000 [3 per cell]

---

Record 6
Density functional theory data (GGA-PBE) for a relaxed SrFeSi2 crystal.

- formation energy from raw total energies (eV per atom) = -0.0481

a b c (Å): 3.529 3.743 6.133
angles (deg): 90.00 90.00 90.00
Space group Pmm2 (No. 25)
One atom of each set of equivalent atoms:
Sr 0.000 0.000 0.000 [1 per cell]
Fe 0.500 0.000 0.480 [1 per cell]
Si 0.000 0.500 0.443 [1 per cell]
Si 0.500 0.500 0.709 [1 per cell]

---

Record 7
Density functional theory data (GGA-PBE) for a relaxed Cs2MgC crystal.

- ΔH_f (0 K) (eV per atom) = 0.815
- E above lowest polymorph (meV per atom) = 0

a b c (Å): 13.357 13.357 4.220
angles (deg): 90.00 90.00 90.00
Space group I-42d (No. 122)
One atom of each set of equivalent atoms:
Cs 0.056 0.250 0.125 [8 per cell]
Mg 0.000 0.000 0.500 [4 per cell]
C 0.000 0.000 0.000 [4 per cell]

---

Record 8
Density functional theory data (GGA-PBE) for a relaxed Re2PdRh crystal.

- ΔH_f (0 K) (eV per atom) = 0.072
- E above lowest polymorph (meV per atom) = 0

a b c (Å): 2.7375 2.7375 27.2913
angles (deg): 90.00 90.00 120.00
Space group R-3m (No. 166, hexagonal axes)
One atom of each set of equivalent atoms:
Re 0.0000 0.0000 0.2484 [6 per cell]
Pd 0.0000 0.0000 0.0000 [3 per cell]
Rh 0.0000 0.0000 0.5000 [3 per cell]

---

Record 9
Density functional theory data (GGA-PBE) for a relaxed K5C3 crystal.

- ΔH_f (0 K) (eV per atom) = 1.699
- E above lowest polymorph (meV per atom) = 91

a b c (Å): 3.832 3.832 18.209
angles (deg): 90.00 90.00 90.00
Space group P4/mmm (No. 123)
One atom of each set of equivalent atoms:
K 0.000 0.000 0.000 [1 per cell]
K 0.000 0.000 0.184 [2 per cell]
K 0.500 0.500 0.414 [2 per cell]
C 0.000 0.000 0.500 [1 per cell]
C 0.500 0.500 0.113 [2 per cell]

---

Record 10
Density functional theory data (GGA-PBE) for a relaxed KScCd2Br8 crystal.

- formation energy from raw total energies (eV per atom) = -1.2078

a b c (Å): 6.460 6.854 8.649
angles (deg): 89.82 89.72 89.29
Space group P-1 (No. 2)
One atom of each set of equivalent atoms:
K 0.000 0.000 0.000 [1 per cell]
Sc 0.000 0.000 0.500 [1 per cell]
Cd 0.499 0.499 0.253 [2 per cell]
Br 0.240 0.839 0.712 [2 per cell]
Br 0.242 0.840 0.287 [2 per cell]
Br 0.255 0.331 0.500 [2 per cell]
Br 0.264 0.383 0.000 [2 per cell]

---

Record 11
Density functional theory data (GGA-PBE) for a relaxed Li2ZnH crystal.

- E above lowest polymorph (meV per atom) = 0

a b c (Å): 2.7623 2.7623 21.0144
angles (deg): 90.00 90.00 120.00
Space group R-3m (No. 166, hexagonal axes)
One atom of each set of equivalent atoms:
Li 0.0000 0.0000 0.2221 [6 per cell]
Zn 0.0000 0.0000 0.0000 [3 per cell]
H 0.0000 0.0000 0.5000 [3 per cell]

---

Record 12
Density functional theory data (GGA-PBE) for a relaxed Ga2SbP crystal.

- formation energy from raw total energies (eV per atom) = -0.2524
- E above lowest polymorph (meV per atom) = 0

a b c (Å): 5.859 5.859 11.609
angles (deg): 90.00 90.00 90.00
Space group I-42d (No. 122)
One atom of each set of equivalent atoms:
Ga 0.212 0.250 0.125 [8 per cell]
Sb 0.000 0.000 0.500 [4 per cell]
P 0.000 0.000 0.000 [4 per cell]

---

Number 1: magnetic moment 0.00 μB per cell. Number 2: magnetic moment 0.00 μB per cell. Number 3: magnetic moment 0.00 μB per cell. Number 4: magnetic moment 0.00 μB per cell. Number 5: magnetic moment 0.00 μB per cell. Number 6: magnetic moment 1.99 μB per cell. Number 7: magnetic moment 1.04 μB per cell. Number 8: magnetic moment 0.00 μB per cell. Number 9: magnetic moment 7.09 μB per cell. Number 10: magnetic moment 0.00 μB per cell. Number 11: magnetic moment 0.00 μB per cell. Number 12: magnetic moment 0.00 μB per cell.